A) Crystalline Ge4Mo2Ru at its relaxed geometry, computed with GGA-PBE.

Properties
* Fermi-level density of states: 0.183 states/eV per atom

a b c (Å): 3.1518 5.6002 7.3806
angles (deg): 110.82 102.33 90.00
Atoms (fractional coordinates):
Ge (0.8829, 0.2218, 0.7658)
Ge (0.1171, 0.7782, 0.2342)
Ge (0.6114, 0.3197, 0.2228)
Ge (0.3886, 0.6803, 0.7772)
Mo (0.7533, 0.7536, 0.5066)
Mo (0.2467, 0.2464, 0.4934)
Ru (0.0000, 0.0000, 0.0000)

***

B) Crystalline Ge4Mo2Ru at its relaxed geometry, computed with GGA-PBE.

Properties
* Fermi-level density of states: 1.033 states/eV per atom

a b c (Å): 4.7351 4.7351 7.1400
angles (deg): 70.63 70.63 90.00
Last column: magnetic moment on the atom in μB.
Atoms (fractional coordinates):
Ru (0.0000, 0.0000, 0.0000)  0.26
Mo (0.4014, 0.4014, 0.1971)  0.56
Mo (0.5986, 0.5986, 0.8029)  0.56
Ge (0.1988, 0.1988, 0.6024)  0.01
Ge (0.8012, 0.8012, 0.3976)  0.01
Ge (0.0000, 0.5000, 0.0000)  -0.02
Ge (0.5000, 0.0000, 0.0000)  -0.02

***

Most stable: A). Least stable: B).

***

A) Crystalline Ge2Mo2S at its relaxed geometry, computed with GGA-PBE.

Properties
* Fermi-level density of states: 0.665 states/eV per atom

a b c (Å): 7.1133 7.1133 3.2020
angles (deg): 90.00 90.00 90.00
Atoms (fractional coordinates):
S (0.0000, 0.0000, 0.0000)
S (0.5000, 0.5000, 0.0000)
Mo (0.1604, 0.6604, 0.5000)
Mo (0.6604, 0.8396, 0.5000)
Mo (0.8396, 0.3396, 0.5000)
Mo (0.3396, 0.1604, 0.5000)
Ge (0.3641, 0.8641, 0.0000)
Ge (0.8641, 0.6359, 0.0000)
Ge (0.6359, 0.1359, 0.0000)
Ge (0.1359, 0.3641, 0.0000)

***

B) Crystalline Ge2Mo2S at its relaxed geometry, computed with GGA-PBE.

Properties
* Fermi-level density of states: 0.876 states/eV per atom

a b c (Å): 3.7657 3.7657 6.8263
angles (deg): 73.99 73.99 90.00
Atoms (fractional coordinates):
S (0.0000, 0.0000, 0.0000)
Mo (0.7500, 0.2500, 0.5000)
Mo (0.2500, 0.7500, 0.5000)
Ge (0.4041, 0.4041, 0.1918)
Ge (0.5959, 0.5959, 0.8082)

***

Most stable: A). Least stable: B).

***

A) Crystalline GeMoS3 at its relaxed geometry, computed with GGA-PBE.

Properties
* Fermi-level density of states: 0.797 states/eV per atom

a b c (Å): 4.7060 4.7060 4.7060
angles (deg): 90.00 90.00 90.00
Atoms (fractional coordinates):
S (0.0000, 0.5000, 0.0000)
S (0.0000, 0.0000, 0.5000)
S (0.5000, 0.0000, 0.0000)
Mo (0.0000, 0.0000, 0.0000)
Ge (0.5000, 0.5000, 0.5000)

***

B) Crystalline GeMoS3 at its relaxed geometry, computed with GGA-PBE.

Properties
* Fermi-level density of states: 0.834 states/eV per atom

a b c (Å): 4.6416 4.6416 4.6416
angles (deg): 90.00 90.00 90.00
Last column: magnetic moment on the atom in μB.
Atoms (fractional coordinates):
S (0.0000, 0.5000, 0.0000)  -0.21
S (0.0000, 0.0000, 0.5000)  -0.11
S (0.5000, 0.0000, 0.0000)  -0.13
Mo (0.5000, 0.5000, 0.5000)  3.26
Ge (0.0000, 0.0000, 0.0000)  0.00

***

Most stable: A). Least stable: B).

***

A) Crystalline GeMo2S at its relaxed geometry, computed with GGA-PBE.

Properties
* Fermi-level density of states: 0.836 states/eV per atom

a b c (Å): 4.0292 4.0292 8.9245
angles (deg): 76.95 76.95 90.00
Atoms (fractional coordinates):
S (0.5000, 0.5000, 0.0000)
S (0.2500, 0.7500, 0.5000)
Mo (0.5745, 0.1250, 0.2500)
Mo (0.1755, 0.6250, 0.2500)
Mo (0.3750, 0.4255, 0.7500)
Mo (0.8750, 0.8245, 0.7500)
Ge (0.0000, 0.0000, 0.0000)
Ge (0.7500, 0.2500, 0.5000)

***

B) Crystalline GeMo2S at its relaxed geometry, computed with GGA-PBE.

Properties
* Fermi-level density of states: 0.725 states/eV per atom

a b c (Å): 4.3485 4.3485 4.3485
angles (deg): 60.00 60.00 60.00
Atoms (fractional coordinates):
S (0.0000, 0.0000, 0.0000)
Mo (0.2500, 0.2500, 0.2500)
Mo (0.7500, 0.7500, 0.7500)
Ge (0.5000, 0.5000, 0.5000)

***

Most stable: B). Least stable: A).

***

A) Crystalline GeSbMo2 at its relaxed geometry, computed with GGA-PBE.

Properties
* Fermi-level density of states: 0.896 states/eV per atom

a b c (Å): 4.1143 4.1143 9.7343
angles (deg): 77.80 77.80 90.00
Atoms (fractional coordinates):
Sb (0.0000, 0.0000, 0.0000)
Sb (0.7500, 0.2500, 0.5000)
Mo (0.5580, 0.1250, 0.2500)
Mo (0.1920, 0.6250, 0.2500)
Mo (0.3750, 0.4420, 0.7500)
Mo (0.8750, 0.8080, 0.7500)
Ge (0.5000, 0.5000, 0.0000)
Ge (0.2500, 0.7500, 0.5000)

***

B) Crystalline GeSbMo2 at its relaxed geometry, computed with GGA-PBE.

Properties
* Fermi-level density of states: 1.955 states/eV per atom

a b c (Å): 4.5737 4.5737 4.5737
angles (deg): 60.00 60.00 60.00
Atoms (fractional coordinates):
Sb (0.5000, 0.5000, 0.5000)
Mo (0.2500, 0.2500, 0.2500)
Mo (0.7500, 0.7500, 0.7500)
Ge (0.0000, 0.0000, 0.0000)

***

Most stable: B). Least stable: A).

***

A) Crystalline GeSb3Mo at its relaxed geometry, computed with GGA-PBE.

Properties
* Fermi-level density of states: 0.837 states/eV per atom

a b c (Å): 5.2380 5.2380 5.2380
angles (deg): 90.00 90.00 90.00
Last column: magnetic moment on the atom in μB.
Atoms (fractional coordinates):
Sb (0.0000, 0.5000, 0.0000)  -0.02
Sb (0.0000, 0.0000, 0.5000)  -0.05
Sb (0.5000, 0.0000, 0.0000)  -0.04
Mo (0.0000, 0.0000, 0.0000)  0.48
Ge (0.5000, 0.5000, 0.5000)  0.29

***

B) Crystalline GeSb3Mo at its relaxed geometry, computed with GGA-PBE.

Properties
* Fermi-level density of states: 0.789 states/eV per atom

a b c (Å): 5.2552 5.2552 5.2552
angles (deg): 90.00 90.00 90.00
Last column: magnetic moment on the atom in μB.
Atoms (fractional coordinates):
Sb (0.0000, 0.5000, 0.0000)  -0.10
Sb (0.0000, 0.0000, 0.5000)  -0.10
Sb (0.5000, 0.0000, 0.0000)  -0.05
Mo (0.5000, 0.5000, 0.5000)  3.33
Ge (0.0000, 0.0000, 0.0000)  0.01

***

Most stable: A). Least stable: B).